# 1
Compound: B3AuO
Source: the Alexandria database
Functional: meta-GGA SCAN
Structure: single point on PBEsol structure

Results
formation energy (no corrections): 1595 meV per atom
crystal system: cubic

Cell: 4.0513 4.0513 4.0513 Å, 90.00 90.00 90.00°
Space group Pm-3m (No. 221)
Asymmetric unit:
B 0.0000 0.0000 0.5000 [3 per cell]
Au 0.0000 0.0000 0.0000 [1 per cell]
O 0.5000 0.5000 0.5000 [1 per cell]



# 2
Compound: BiBSeBr2
Source: the Alexandria database
Functional: meta-GGA SCAN
Structure: single point on PBEsol structure

Results
formation energy (no corrections): 898 meV per atom
crystal system: tetragonal

Cell: 5.5694 5.5694 5.5753 Å, 90.00 90.00 90.00°
Space group P4/mmm (No. 123)
Asymmetric unit:
Bi 0.0000 0.0000 0.0000 [1 per cell]
B 0.5000 0.5000 0.5000 [1 per cell]
Se 0.0000 0.0000 0.5000 [1 per cell]
Br 0.0000 0.5000 0.0000 [2 per cell]



# 3
Compound: CoAgPb2
Source: the Alexandria database
Functional: meta-GGA SCAN
Structure: single point on PBEsol structure

Results
energy of formation from the pure elements: 0.389 eV/atom
crystal system: monoclinic

Cell: 3.2212 3.2148 7.8932 Å, 90.00 98.09 90.00°
Space group P2/m (No. 10)
Asymmetric unit:
Co 0.0000 0.0000 0.0000 [1 per cell]
Ag 0.0000 0.0000 0.5000 [1 per cell]
Pb 0.4545 0.5000 0.7879 [2 per cell]



Number 1: volume 13.3 Å³ per atom, E_tot -17.940 eV/atom. Number 2: volume 34.6 Å³ per atom, E_tot -28.103 eV/atom. Number 3: volume 20.2 Å³ per atom, E_tot -49.670 eV/atom.